The following is a PBE-GGA calculation of a relaxed Tb3In3PdRu2 crystal, from Alexandria.

```
Tb3In3PdRu2
1.0
-0.294 1.139 -3.747
-7.518 -0.836 0.336
3.152 6.652 1.774
Tb In Pd Ru
3 3 1 2
Cartesian
-2.574 3.429 1.244 Tb
1.294 2.730 0.728 Tb
-3.086 -0.343 0.138 Tb
-5.697 -0.048 -1.625 In
2.180 5.480 -0.564 In
-1.290 2.092 -1.321 In
0.000 0.000 0.000 Pd
-4.108 2.229 -1.058 Ru
-0.552 4.725 -0.579 Ru
```

Summary:
theoretical density: 9620 kg/m³
E_tot: -50.51 eV/cell
crystal system: hexagonal
calculated formation energy: -4.66 eV/f.u.